(1)
An optimized crystal structure of ErMn4Cu3O12. Source: Alexandria, functional PBE+U.

Cell: 6.408 6.408 6.408 Å, 109.47 109.47 109.47°
Last column: magnetic moment on the atom in μB.
Sites, in units of the cell vectors:
O 0.133 0.831 0.302  -0.09
O 0.831 0.302 0.133  -0.09
O 0.302 0.471 0.169  -0.09
O 0.169 0.698 0.867  -0.09
O 0.867 0.169 0.698  -0.09
O 0.831 0.698 0.529  -0.09
O 0.169 0.302 0.471  -0.09
O 0.302 0.133 0.831  -0.09
O 0.698 0.867 0.169  -0.09
O 0.698 0.529 0.831  -0.09
O 0.529 0.831 0.698  -0.09
O 0.471 0.169 0.302  -0.09
Mn 0.000 0.000 0.500  3.72
Mn 0.000 0.500 0.000  3.72
Mn 0.500 0.500 0.500  3.72
Mn 0.500 0.000 0.000  3.72
Cu 0.500 0.500 0.000  -0.04
Cu 0.000 0.500 0.500  -0.04
Cu 0.500 0.000 0.500  -0.04
Er 0.000 0.000 0.000  0.01

Output
raw total energy	-0.4949	Ry per atom
total magnetization	14.0	μB per cell

---

(2)
An optimized crystal structure of CoSnO3. Source: Alexandria, functional PBE+U.

Cell: 3.985 3.985 3.985 Å, 90.00 90.00 90.00°
Last column: magnetic moment on the atom in μB.
Sites, in units of the cell vectors:
Sn 0.000 0.000 0.000  -0.01
O 0.500 0.000 0.000  0.06
O 0.000 0.000 0.500  0.05
O 0.000 0.500 0.000  0.08
Co 0.500 0.500 0.500  2.74

Output
raw total energy	-0.4036	Ry per atom
total magnetization	3.0	μB per cell

---

> What is the raw total energy in the second record?

-0.4036 Ry per atom

---

> The lowest raw total energy belongs to which entry?

ErMn4Cu3O12